This record from Alexandria describes a geometry-optimized SmTmAl2Au4 structure. The functional is PBE.

Unit cell a=4.6273 b=4.6273 c=9.1935 alpha=75.42 beta=75.42 gamma=60.00
Closest atoms and distances in Å follow each position.
Fractional coordinates of all 8 atoms:
Au: 0.6100 0.6100 0.1700  3 Al 2.79, 1 Tm 2.90, 3 Sm 3.06, 3 Au 3.13
Au: 0.8817 0.8817 0.3548  3 Al 2.79, 3 Tm 2.96, 1 Sm 3.12
Au: 0.3900 0.3900 0.8300  3 Al 2.79, 1 Tm 2.90, 3 Sm 3.06, 3 Au 3.13
Au: 0.1183 0.1183 0.6452  3 Al 2.79, 3 Tm 2.96, 1 Sm 3.12
Sm: 0.0000 0.0000 0.0000  8 Au 3.06-3.12
Al: 0.2456 0.2456 0.2632  6 Au 2.79
Al: 0.7544 0.7544 0.7368  6 Au 2.79
Tm: 0.5000 0.5000 0.5000  8 Au 2.90-2.96

Summary:
The value obtained for the calculated formation energy is -545 kJ/mol of formula units. As for the symmetry: R-3m (166). The value obtained for the electronic total energy is -0.326 Ry/atom.


This record from Alexandria describes a geometry-optimized BaHoCd structure. The functional is PBE.

Unit cell a=3.9640 b=3.9640 c=7.4318 alpha=105.47 beta=105.47 gamma=90.00
Closest atoms and distances in Å follow each position.
Fractional coordinates of all 3 atoms:
Ho: 0.2951 0.2951 0.5901  4 Cd 3.15
Cd: 0.6911 0.6911 0.3822  4 Ho 3.15
Ba: 0.0138 0.0138 0.0277  4 Cd 3.72, 5 Ho 3.87-4.11, 4 Ba 3.96

Summary:
The value obtained for the calculated formation energy is -27 kJ/mol of formula units. As for the symmetry: I4mm (107). The value obtained for the electronic total energy is -0.189 Ry/atom.


This record from Alexandria describes a geometry-optimized BaP2Ru structure. The functional is PBE.

Unit cell a=4.1102 b=4.1102 c=6.1436 alpha=70.48 beta=70.48 gamma=59.98
Closest atoms and distances in Å follow each position.
Fractional coordinates of all 4 atoms:
P: 0.5461 0.5461 0.3616  3 Ru 2.46, 3 P 2.69
P: 0.9539 0.9539 0.1384  3 Ru 2.46, 3 P 2.69
Ba: 0.7500 0.7500 0.7500  8 P 3.24-3.47
Ru: 0.2500 0.2500 0.2500  6 P 2.46

Summary:
The value obtained for the calculated formation energy is -251 kJ/mol of formula units. As for the symmetry: R-3m (166). The value obtained for the electronic total energy is -0.452 Ry/atom.


Which of these has the lowest calculated formation energy?
SmTmAl2Au4